Entry 1:
5
Lattice="-5.689 4.030 -0.476 -3.167 -4.922 -3.818 -2.538 -2.892 5.833" Properties=species:S:1:pos:R:3 comment="K3RbPb PBE relaxed" dft_energy_ev_per_atom=-1.579 relative_energy_mev_per_atom=64 volume_a3_per_cell=341.2 formation_energy_mev_per_atom=15 magmom_total_mub_per_cell=0.03 crystal_system=cubic pbc="T T T"
Pb 0.000 0.000 0.000
K -1.583 -2.461 -1.909
K -1.269 -1.446 2.917
K -2.844 2.015 -0.238
Rb -5.697 -1.892 0.769



Entry 2:
3
Lattice="-2.189 0.026 -2.990 3.687 -2.930 -2.725 -3.908 -2.505 2.839" Properties=species:S:1:pos:R:3 comment="AcCeCd PBE relaxed" dft_energy_ev_per_atom=-3.627 relative_energy_mev_per_atom=84 volume_a3_per_cell=95.0 formation_energy_mev_per_atom=25 magmom_total_mub_per_cell=0.92 crystal_system=trigonal pbc="T T T"
Ac -0.285 -2.772 -2.837
Ce -0.088 0.001 -0.120
Cd -2.037 -2.639 0.082



Entry 3:
10
Lattice="7.313 0.000 0.000 0.000 7.313 0.000 0.000 0.000 4.720" Properties=species:S:1:pos:R:3 comment="La2CrAg2 PBE relaxed" dft_energy_ev_per_atom=-4.637 relative_energy_mev_per_atom=177 volume_a3_per_cell=252.4 formation_energy_mev_per_atom=399 magmom_total_mub_per_cell=0.51 crystal_system=tetragonal pbc="T T T"
Cr 0.000 0.000 0.000
Cr 3.656 3.656 0.000
Ag 2.673 6.330 0.000
Ag 6.330 4.639 0.000
Ag 4.639 0.983 0.000
Ag 0.983 2.673 0.000
La 1.331 4.987 2.360
La 4.987 5.982 2.360
La 5.982 2.326 2.360
La 2.326 1.331 2.360



Entry 4:
8
Lattice="-1.565 4.236 -4.049 -5.314 -2.792 -0.868 -7.546 6.248 4.910" Properties=species:S:1:pos:R:3 comment="InPbI2 PBE relaxed" dft_energy_ev_per_atom=-2.532 relative_energy_mev_per_atom=139 volume_a3_per_cell=370.9 magmom_total_mub_per_cell=0.00 crystal_system=tetragonal pbc="T T T"
Pb 0.000 0.000 0.000
Pb -6.275 5.603 -0.799
I -3.555 3.931 -1.479
I -5.377 0.276 0.247
I -8.150 5.274 1.853
I -11.767 5.903 -0.634
In -3.439 0.722 -2.458
In -8.149 2.089 0.792



Entry 5:
20
Lattice="9.534 -2.333 -2.421 0.634 8.565 -1.940 0.634 -2.257 8.488" Properties=species:S:1:pos:R:3 comment="La2PrNdY6 PBE relaxed" dft_energy_ev_per_atom=-5.705 volume_a3_per_cell=683.5 formation_energy_mev_per_atom=114 magmom_total_mub_per_cell=0.00 crystal_system=monoclinic pbc="T T T"
La 5.315 4.255 3.445
La 0.721 1.857 0.957
La 5.488 -0.279 0.681
La 10.082 2.119 3.170
Pr 3.018 7.847 -2.415
Pr 7.785 -3.870 6.541
Nd 3.018 1.518 3.683
Nd 7.785 2.458 0.443
Y 1.079 -0.797 5.851
Y 4.957 -0.734 5.917
Y 9.724 4.773 -1.725
Y 5.846 4.710 -1.790
Y 3.883 6.679 0.922
Y 2.153 4.468 -1.372
Y 6.920 -2.703 3.204
Y 8.650 -0.492 5.499
Y 1.869 4.587 2.498
Y 4.167 2.816 0.661
Y 8.935 -0.611 1.628
Y 6.636 1.160 3.466



Entry 6:
12
Lattice="-0.522 -1.362 -4.882 -1.428 -3.195 3.703 -7.885 3.401 -0.105" Properties=species:S:1:pos:R:3 comment="NdIn3Cu8 PBE relaxed" dft_energy_ev_per_atom=-3.909 volume_a3_per_cell=193.1 formation_energy_mev_per_atom=-96 magmom_total_mub_per_cell=0.00 crystal_system=trigonal pbc="T T T"
Nd -4.490 1.937 -0.060
In -4.148 -0.540 -2.065
In -1.299 -1.768 -2.027
In -7.450 3.214 -0.099
Cu -5.002 -0.912 0.790
Cu -1.134 -2.581 0.841
Cu -6.249 1.897 -2.519
Cu -6.960 0.304 -0.674
Cu -7.221 -0.375 -3.107
Cu -2.488 -0.452 0.392
Cu -3.206 -2.060 2.255
Cu -3.469 -2.745 -0.201



Entry 7:
12
Lattice="-2.785 -3.999 -3.422 7.239 -1.493 -2.133 -1.306 -3.236 6.856" Properties=species:S:1:pos:R:3 comment="Tl4HgPd PBE relaxed" dft_energy_ev_per_atom=-2.539 volume_a3_per_cell=321.9 formation_energy_mev_per_atom=-46 magmom_total_mub_per_cell=0.00 crystal_system=monoclinic pbc="T T T"
Tl 0.972 -7.151 1.221
Tl 6.131 -2.522 -0.142
Tl -0.866 -3.912 0.102
Tl 3.778 -3.112 -2.494
Tl -0.631 -5.615 3.794
Tl 4.013 -4.815 1.198
Tl -2.983 -6.206 1.443
Tl 2.176 -1.577 0.079
Hg 1.772 -5.181 -1.146
Hg 1.375 -3.547 2.447
Pd -1.967 -4.228 5.962
Pd 5.114 -4.500 -4.662



Entry 8:
8
Lattice="6.602 1.036 -1.085 1.014 4.933 -1.315 -2.564 -3.209 6.071" Properties=species:S:1:pos:R:3 comment="LiPdSe2 PBE relaxed" dft_energy_ev_per_atom=-4.105 volume_a3_per_cell=156.8 magmom_total_mub_per_cell=0.00 crystal_system=triclinic pbc="T T T"
Li -0.704 0.031 2.999
Li 2.202 2.246 3.195
Pd 0.410 1.656 -0.114
Pd 3.652 3.830 0.237
Se 5.991 3.575 1.092
Se 2.747 1.402 0.736
Se 1.315 4.084 -0.613
Se 2.110 -0.262 4.018



What did the fifth record say?
20
Lattice="9.534 -2.333 -2.421 0.634 8.565 -1.940 0.634 -2.257 8.488" Properties=species:S:1:pos:R:3 comment="La2PrNdY6 PBE relaxed" dft_energy_ev_per_atom=-5.705 volume_a3_per_cell=683.5 formation_energy_mev_per_atom=114 magmom_total_mub_per_cell=0.00 crystal_system=monoclinic pbc="T T T"
La 5.315 4.255 3.445
La 0.721 1.857 0.957
La 5.488 -0.279 0.681
La 10.082 2.119 3.170
Pr 3.018 7.847 -2.415
Pr 7.785 -3.870 6.541
Nd 3.018 1.518 3.683
Nd 7.785 2.458 0.443
Y 1.079 -0.797 5.851
Y 4.957 -0.734 5.917
Y 9.724 4.773 -1.725
Y 5.846 4.710 -1.790
Y 3.883 6.679 0.922
Y 2.153 4.468 -1.372
Y 6.920 -2.703 3.204
Y 8.650 -0.492 5.499
Y 1.869 4.587 2.498
Y 4.167 2.816 0.661
Y 8.935 -0.611 1.628
Y 6.636 1.160 3.466